Below is a geometry-optimized YCrRu2 structure, with properties calculated at the PBE level.

abc: 3.1298 3.1298 6.7372
angles: 90.00 90.00 90.00
Closest atoms and distances in Å follow each position.
Positions (direct):
Y: 0.0000 0.0000 0.0000  8 Ru 2.98, 4 Y 3.13
Cr: 0.0000 0.0000 0.5000  8 Ru 2.60
Ru: 0.5000 0.5000 0.2965  4 Cr 2.60, 1 Ru 2.74
Ru: 0.5000 0.5000 0.7035  4 Cr 2.60, 1 Ru 2.74

## Properties
formation energy	0.02	eV per atom
excess energy over the best structure of this formula in the dataset	0.0000	eV per atom
total energy	-34.55	eV for the cell shown
spin magnetization	1.45	μB/cell
space-group type	P4/mmm (123)


Below is a geometry-optimized Sn5Pb7 structure, with properties calculated at the PBE level.

abc: 7.7056 7.7056 10.6735
angles: 115.15 115.15 39.57
Closest atoms and distances in Å follow each position.
Positions (direct):
Sn: 0.0000 0.0000 0.0000  2 Sn 3.38, 10 Pb 3.43-3.57
Sn: 0.1700 0.1700 0.4979  5 Sn 3.26-3.52, 7 Pb 3.33-3.60
Sn: 0.2470 0.2470 0.2544  4 Sn 3.26-3.52, 8 Pb 3.41-3.60
Sn: 0.7530 0.7530 0.7456  4 Sn 3.26-3.52, 8 Pb 3.41-3.60
Sn: 0.8300 0.8300 0.5021  5 Sn 3.26-3.52, 7 Pb 3.33-3.60
Pb: 0.0823 0.0823 0.7455  5 Sn 3.40-3.60, 7 Pb 3.41-3.60
Pb: 0.3321 0.3321 0.0014  7 Pb 3.38-3.55, 5 Sn 3.44-3.57
Pb: 0.4126 0.4126 0.7496  7 Sn 3.33-3.53, 5 Pb 3.38-3.60
Pb: 0.5000 0.5000 0.5000  6 Sn 3.41-3.60, 6 Pb 3.43-3.50
Pb: 0.5874 0.5874 0.2504  7 Sn 3.33-3.53, 5 Pb 3.38-3.60
Pb: 0.6679 0.6679 0.9986  7 Pb 3.38-3.55, 5 Sn 3.44-3.57
Pb: 0.9177 0.9177 0.2545  5 Sn 3.40-3.60, 7 Pb 3.41-3.60

## Properties
formation energy	0.04	eV per atom
excess energy over the best structure of this formula in the dataset	0.0025	eV per atom
total energy	-45.51	eV for the cell shown
spin magnetization	0.00	μB/cell
space-group type	C2/m (12)


Below is a geometry-optimized RbScMnC2 structure, with properties calculated at the PBE level.

abc: 4.4269 4.4269 5.3761
angles: 90.00 90.00 90.00
Closest atoms and distances in Å follow each position.
Positions (direct):
Rb: 0.0000 0.0000 0.0000  2 Sc 2.69
Sc: 0.0000 0.0000 0.5000  4 C 2.21
Mn: 0.5000 0.5000 0.0000  4 Rb 3.13, 8 C 3.48
C: 0.0000 0.5000 0.5000  2 Sc 2.21
C: 0.5000 0.0000 0.5000  2 Sc 2.21

## Properties
formation energy	2.14	eV per atom
excess energy over the best structure of this formula in the dataset	0.8165	eV per atom
total energy	-24.22	eV for the cell shown
spin magnetization	5.04	μB/cell
space-group type	P4/mmm (123)


Below is a geometry-optimized KCaAsF6 structure, with properties calculated at the PBE level.

abc: 5.9085 5.9085 5.4722
angles: 90.02 90.02 120.07
Closest atoms and distances in Å follow each position.
Positions (direct):
K: 0.0000 0.0000 0.0000  6 F 2.72
Ca: 0.6666 0.3334 0.5000  6 F 2.28
As: 0.3335 0.6665 0.5000  6 F 2.08-2.09
F: 0.0246 0.3839 0.2934  1 As 2.08, 1 Ca 2.28
F: 0.0257 0.6414 0.7063  1 As 2.08, 1 Ca 2.28
F: 0.3592 0.3837 0.7068  1 As 2.09, 1 Ca 2.28
F: 0.3586 0.9743 0.2937  1 As 2.08, 1 Ca 2.28
F: 0.6163 0.6408 0.2932  1 As 2.09, 1 Ca 2.28
F: 0.6161 0.9754 0.7066  1 As 2.08, 1 Ca 2.28

## Properties
total energy	-44.58	eV for the cell shown
spin magnetization	0.00	μB/cell
space-group type	C2 (5)
formation energy without anion corrections	-25.60	eV/f.u.


Below is a geometry-optimized BeSn3Bi structure, with properties calculated at the PBE level.

abc: 5.0441 5.0441 5.0441
angles: 90.00 90.00 90.00
Closest atoms and distances in Å follow each position.
Positions (direct):
Be: 0.0000 0.0000 0.0000  6 Sn 2.52
Sn: 0.0000 0.0000 0.5000  2 Be 2.52
Sn: 0.0000 0.5000 0.0000  2 Be 2.52
Sn: 0.5000 0.0000 0.0000  2 Be 2.52
Bi: 0.5000 0.5000 0.5000  12 Sn 3.57

## Properties
formation energy	0.25	eV per atom
excess energy over the best structure of this formula in the dataset	0.0000	eV per atom
total energy	-18.35	eV for the cell shown
spin magnetization	0.00	μB/cell
space-group type	Pm-3m (221)


Below is a geometry-optimized LaEr2P structure, with properties calculated at the PBE level.

abc: 10.5605 10.5605 10.5605
angles: 20.24 20.24 20.24
Closest atoms and distances in Å follow each position.
Positions (direct):
La: 0.0000 0.0000 0.0000  2 Er 3.55, 6 La 3.71
Er: 0.1145 0.1145 0.1145  3 P 2.69
Er: 0.8855 0.8855 0.8855  3 P 2.69
P: 0.5000 0.5000 0.5000  6 Er 2.69

## Properties
formation energy	-0.57	eV per atom
total energy	-21.73	eV for the cell shown
spin magnetization	0.02	μB/cell
space-group type	R-3m (166)


Below is a geometry-optimized V2TcGe4 structure, with properties calculated at the PBE level.

abc: 7.0234 7.0234 7.0234
angles: 140.72 140.72 56.77
Closest atoms and distances in Å follow each position.
Positions (direct):
V: 0.0913 0.0913 0.0000  1 V 2.26
V: 0.9087 0.9087 0.0000  1 V 2.26
Tc: 0.5000 0.5000 0.0000  6 Ge 2.36-2.52
Ge: 0.0000 0.5000 0.5000  2 Tc 2.36, 4 V 2.62
Ge: 0.2962 0.2962 0.0000  1 Tc 2.52, 1 V 2.53
Ge: 0.5000 0.0000 0.5000  2 Tc 2.36, 4 V 2.62
Ge: 0.7038 0.7038 0.0000  1 Tc 2.52, 1 V 2.53

## Properties
formation energy	0.47	eV per atom
excess energy over the best structure of this formula in the dataset	0.4698	eV per atom
total energy	-43.78	eV for the cell shown
spin magnetization	0.57	μB/cell
space-group type	I4/mmm (139)


Below is a geometry-optimized K2LaMo structure, with properties calculated at the PBE level.

abc: 3.1652 6.3649 6.6138
angles: 90.00 90.00 90.00
Closest atoms and distances in Å follow each position.
Positions (direct):
K: 0.0000 0.2347 0.0000  3 K 2.99-3.17
K: 0.0000 0.7653 0.0000  3 K 2.99-3.17
La: 0.5000 0.5000 0.5000  2 La 3.17, 2 Mo 3.18
Mo: 0.5000 0.0000 0.5000  2 Mo 3.17, 2 La 3.18

## Properties
formation energy	1.23	eV per atom
excess energy over the best structure of this formula in the dataset	0.5186	eV per atom
total energy	-13.02	eV for the cell shown
spin magnetization	2.05	μB/cell
space-group type	Pmmm (47)